# 1
Nd6IrCl8 (PBE-GGA, optimized geometry); raw formation energy = -1.7032 eV per atom
1.0
-7.081 -1.720 -1.213
-1.874 -6.936 -1.719
-4.116 -4.935 8.525
Cl Nd Ir
8 6 1
direct
0.760 0.460 0.672 Cl
0.460 0.108 0.672 Cl
0.667 0.667 0.000 Cl
0.540 0.892 0.328 Cl
0.240 0.540 0.328 Cl
0.333 0.333 0.000 Cl
0.892 0.240 0.328 Cl
0.108 0.760 0.672 Cl
0.242 0.942 0.171 Nd
0.645 0.242 0.171 Nd
0.355 0.758 0.829 Nd
0.758 0.058 0.829 Nd
0.942 0.645 0.171 Nd
0.058 0.355 0.829 Nd
0.000 0.000 0.000 Ir

=====

# 2
LaPr2Al (PBE-GGA, optimized geometry); offset from the most stable computed form = 0.68 eV/f.u.
1.0
5.559 0.000 0.000
2.779 4.814 0.000
2.779 1.605 4.539
Al Pr La
1 2 1
direct
0.500 0.500 0.500 Al
0.750 0.750 0.750 Pr
0.250 0.250 0.250 Pr
0.000 0.000 0.000 La

=====

# 3
RbNdGa2I6 (PBE-GGA, optimized geometry); raw formation energy = -1.0007 eV per atom
1.0
8.387 0.002 0.002
4.195 7.264 0.001
4.195 2.422 7.656
Ga I Nd Rb
2 6 1 1
direct
0.511 0.511 0.467 Ga
0.003 0.003 0.990 Ga
0.250 0.939 0.233 I
0.156 0.359 0.757 I
0.939 0.577 0.233 I
0.359 0.728 0.757 I
0.577 0.250 0.233 I
0.728 0.156 0.757 I
0.325 0.325 0.024 Nd
0.812 0.812 0.564 Rb

=====

# 4
GdB3O6 (PBE-GGA, optimized geometry); raw formation energy = -2.7332 eV per atom
1.0
6.382 0.000 -0.001
1.181 6.272 -0.001
2.913 2.415 5.053
B O Gd
6 12 2
direct
0.294 0.163 0.909 B
0.706 0.837 0.091 B
0.837 0.706 0.591 B
0.724 0.276 0.750 B
0.276 0.724 0.250 B
0.163 0.294 0.409 B
0.298 0.115 0.489 O
0.488 0.719 0.294 O
0.702 0.885 0.511 O
0.115 0.298 0.989 O
0.919 0.283 0.505 O
0.717 0.081 0.995 O
0.512 0.281 0.706 O
0.281 0.512 0.206 O
0.885 0.702 0.011 O
0.283 0.919 0.005 O
0.719 0.488 0.794 O
0.081 0.717 0.495 O
0.291 0.709 0.750 Gd
0.709 0.291 0.250 Gd

=====

# 5
KCaIr2 (PBE-GGA, optimized geometry); offset from the most stable computed form = 0.74 eV/f.u.
1.0
2.804 0.000 0.000
0.000 4.665 0.000
0.000 0.000 7.280
Ca Ir K
1 2 1
direct
0.500 0.500 0.750 Ca
0.000 0.000 0.921 Ir
0.000 0.000 0.579 Ir
0.500 0.500 0.250 K

=====

# 6
LaCd2H (PBE-GGA, optimized geometry); offset from the most stable computed form = 0.00 eV/f.u.
1.0
-6.150 -1.713 0.336
0.519 -0.619 6.342
-3.968 3.071 3.846
H Cd La
2 4 2
direct
0.500 0.500 0.000 H
0.250 0.750 0.500 H
0.424 0.125 0.250 Cd
0.375 0.576 0.750 Cd
0.326 0.625 0.250 Cd
0.875 0.674 0.750 Cd
0.750 0.250 0.500 La
0.000 0.000 0.000 La

=====

# 7
Sm2TlRu (PBE-GGA, optimized geometry); offset from the most stable computed form = 0.61 eV/f.u.
1.0
-0.154 -3.630 0.849
4.536 -0.734 -2.317
2.421 0.937 4.443
Ru Sm Tl
1 2 1
direct
0.500 0.000 0.000 Ru
0.000 0.000 0.500 Sm
0.000 0.500 0.000 Sm
0.500 0.500 0.500 Tl

=====

# 8
K2SrSc (PBE-GGA, optimized geometry); offset from the most stable computed form = 0.52 eV/f.u.
1.0
-2.820 1.316 2.683
4.176 -1.008 4.883
2.455 6.715 -0.714
Sc K Sr
1 2 1
direct
0.500 0.000 0.500 Sc
0.500 0.500 0.000 K
0.000 0.000 0.000 K
0.000 0.500 0.500 Sr

=====

Number 1: DFT total energy -77.790 eV/cell. Number 2: DFT total energy -18.270 eV/cell. Number 3: DFT total energy -31.097 eV/cell. Number 4: DFT total energy -182.388 eV/cell. Number 5: DFT total energy -19.266 eV/cell. Number 6: DFT total energy -18.952 eV/cell. Number 7: DFT total energy -21.750 eV/cell. Number 8: DFT total energy -8.271 eV/cell.